Here is a relaxed structure of LuNbCoSn from the Open Quantum Materials Database. Energies are from PBE-GGA.

Computed properties:
- Raw total energy: -6.33 eV per atom

Geometry as POSCAR:
```
LuNbCoSn
1.0
0.3260 1.0001 4.5836
-3.8913 0.8185 2.5106
-1.4372 -3.1337 3.1984
Co Lu Nb Sn
1 1 1 1
direct
0.7500 0.7500 0.7500
0.5000 0.5000 0.5000
0.2500 0.2500 0.2500
0.0000 0.0000 0.0000
```